[1]
! ScRe2Os | Alexandria via LeMat-Bulk | GGA-PBE | relaxed; values from VASP
! Energy relative to the elements = 0.0655 eV/atom
! E above lowest polymorph = 105 meV per atom
! Spin magnetization = 0.00 μB/f.u.
&SYSTEM
  ibrav = 0, nat = 4, ntyp = 3
/
ATOMIC_SPECIES
Sc 44.96 Sc.upf
Re 186.21 Re.upf
Os 190.23 Os.upf
CELL_PARAMETERS angstrom
2.785 0.000 0.000
0.000 4.411 0.000
-0.881 0.000 5.120
ATOMIC_POSITIONS angstrom
Sc 0.000 0.000 0.000
Re 0.140 2.206 3.776
Re 0.836 0.000 2.568
Os 1.855 2.206 1.274


[2]
! ScRe2Os | Alexandria via LeMat-Bulk | GGA-PBE | relaxed; values from VASP
! Energy relative to the elements = 0.0805 eV/atom
! E above lowest polymorph = 120 meV per atom
! Spin magnetization = 0.00 μB/f.u.
&SYSTEM
  ibrav = 0, nat = 4, ntyp = 3
/
ATOMIC_SPECIES
Sc 44.96 Sc.upf
Re 186.21 Re.upf
Os 190.23 Os.upf
CELL_PARAMETERS angstrom
2.771 0.000 0.000
0.000 4.479 0.000
-1.081 0.000 5.036
ATOMIC_POSITIONS angstrom
Sc 0.000 0.000 0.000
Re -0.139 2.239 3.780
Re 1.829 2.239 1.255
Os 0.845 0.000 2.518


[3]
! ScRe2Os | Alexandria via LeMat-Bulk | GGA-PBE | relaxed; values from VASP
! Energy relative to the elements = 0.5720 eV/atom
! E above lowest polymorph = 612 meV per atom
! Spin magnetization = 0.00 μB/f.u.
&SYSTEM
  ibrav = 0, nat = 8, ntyp = 3
/
ATOMIC_SPECIES
Sc 44.96 Sc.upf
Re 186.21 Re.upf
Os 190.23 Os.upf
CELL_PARAMETERS angstrom
-3.727 3.727 2.581
3.727 -3.727 2.581
3.727 3.727 -2.581
ATOMIC_POSITIONS angstrom
Sc 0.000 0.000 0.000
Sc 0.000 3.727 1.290
Re 1.864 -1.556 1.935
Re 2.172 1.864 0.645
Re 1.864 5.283 -0.645
Re 1.556 1.864 3.226
Os 3.727 0.000 1.290
Os 0.000 0.000 2.581


[4]
! Sc2ReOs | Alexandria via LeMat-Bulk | GGA-PBE | relaxed; values from VASP
! Energy relative to the elements = 0.4895 eV/atom
! Spin magnetization = 0.00 μB/f.u.
&SYSTEM
  ibrav = 0, nat = 8, ntyp = 3
/
ATOMIC_SPECIES
Sc 44.96 Sc.upf
Re 186.21 Re.upf
Os 190.23 Os.upf
CELL_PARAMETERS angstrom
-3.678 3.678 2.695
3.678 -3.678 2.695
3.678 3.678 -2.695
ATOMIC_POSITIONS angstrom
Sc 5.516 1.738 -0.674
Sc 1.738 1.839 0.674
Sc -1.839 1.940 2.021
Sc 1.940 1.839 3.368
Re 3.678 0.000 1.347
Re 0.000 0.000 2.695
Os 0.000 0.000 0.000
Os 0.000 3.678 1.347


[5]
! ScRe2Os | Alexandria via LeMat-Bulk | GGA-PBE | relaxed; values from VASP
! Energy relative to the elements = 0.1922 eV/atom
! E above lowest polymorph = 232 meV per atom
! Spin magnetization = 0.00 μB/f.u.
&SYSTEM
  ibrav = 0, nat = 4, ntyp = 3
/
ATOMIC_SPECIES
Sc 44.96 Sc.upf
Re 186.21 Re.upf
Os 190.23 Os.upf
CELL_PARAMETERS angstrom
3.842 0.000 0.000
0.000 3.842 0.000
0.000 0.000 4.294
ATOMIC_POSITIONS angstrom
Sc 0.000 0.000 0.000
Re 0.000 1.921 2.147
Re 1.921 0.000 2.147
Os 1.921 1.921 0.000


[6]
! ScReOs | Alexandria via LeMat-Bulk | GGA-PBE | relaxed; values from VASP
! Energy relative to the elements = 1.3561 eV/atom
! E above lowest polymorph = 1726 meV per atom
! Spin magnetization = 0.00 μB/f.u.
&SYSTEM
  ibrav = 0, nat = 3, ntyp = 3
/
ATOMIC_SPECIES
Sc 44.96 Sc.upf
Re 186.21 Re.upf
Os 190.23 Os.upf
CELL_PARAMETERS angstrom
0.000 3.036 3.036
3.036 0.000 3.036
3.036 3.036 0.000
ATOMIC_POSITIONS angstrom
Sc 0.000 0.000 0.000
Re 4.554 4.554 4.554
Os 1.518 1.518 1.518


[7]
! ScRe2Os | Alexandria via LeMat-Bulk | GGA-PBE | relaxed; values from VASP
! Energy relative to the elements = -0.0124 eV/atom
! E above lowest polymorph = 27 meV per atom
! Spin magnetization = 0.00 μB/f.u.
&SYSTEM
  ibrav = 0, nat = 4, ntyp = 3
/
ATOMIC_SPECIES
Sc 44.96 Sc.upf
Re 186.21 Re.upf
Os 190.23 Os.upf
CELL_PARAMETERS angstrom
-1.558 2.208 4.554
1.558 -2.208 4.554
1.558 2.208 -4.554
ATOMIC_POSITIONS angstrom
Sc 0.000 0.000 0.000
Re 1.558 0.000 2.302
Re 0.000 2.208 2.252
Os 0.000 0.000 4.554


[8]
! ScRe2Os | Alexandria via LeMat-Bulk | GGA-PBE | relaxed; values from VASP
! Energy relative to the elements = -0.0321 eV/atom
! E above lowest polymorph = 8 meV per atom
! Spin magnetization = 0.00 μB/f.u.
&SYSTEM
  ibrav = 0, nat = 4, ntyp = 3
/
ATOMIC_SPECIES
Sc 44.96 Sc.upf
Re 186.21 Re.upf
Os 190.23 Os.upf
CELL_PARAMETERS angstrom
0.000 3.146 3.146
3.146 0.000 3.146
3.146 3.146 0.000
ATOMIC_POSITIONS angstrom
Sc 0.000 0.000 0.000
Re 1.573 1.573 1.573
Re 3.146 3.146 3.146
Os 4.720 4.720 4.720


[9]
! ScTiReOs | Alexandria via LeMat-Bulk | GGA-PBE | relaxed; values from VASP
! Energy relative to the elements = -0.2841 eV/atom
! Spin magnetization = 0.00 μB/f.u.
&SYSTEM
  ibrav = 0, nat = 4, ntyp = 4
/
ATOMIC_SPECIES
Sc 44.96 Sc.upf
Ti 47.87 Ti.upf
Re 186.21 Re.upf
Os 190.23 Os.upf
CELL_PARAMETERS angstrom
0.000 3.163 3.163
3.163 0.000 3.163
3.163 3.163 0.000
ATOMIC_POSITIONS angstrom
Sc 0.000 0.000 0.000
Ti 3.163 3.163 3.163
Re 4.745 4.745 4.745
Os 1.582 1.582 1.582


[10]
! ScVReOs | Alexandria via LeMat-Bulk | GGA-PBE | relaxed; values from VASP
! Energy relative to the elements = -0.2063 eV/atom
! Spin magnetization = 0.00 μB/f.u.
&SYSTEM
  ibrav = 0, nat = 4, ntyp = 4
/
ATOMIC_SPECIES
Sc 44.96 Sc.upf
V 50.94 V.upf
Re 186.21 Re.upf
Os 190.23 Os.upf
CELL_PARAMETERS angstrom
0.000 3.117 3.117
3.117 0.000 3.117
3.117 3.117 0.000
ATOMIC_POSITIONS angstrom
Sc 0.000 0.000 0.000
V 3.117 3.117 3.117
Re 4.676 4.676 4.676
Os 1.559 1.559 1.559


[11]
! ReOsSe2 | Alexandria via LeMat-Bulk | GGA-PBE | relaxed; values from VASP
! Formation energy from raw total energies = 336 kJ/mol of formula units
! E above lowest polymorph = 697 meV per atom
! Spin magnetization = 0.00 μB/f.u.
&SYSTEM
  ibrav = 0, nat = 4, ntyp = 3
/
ATOMIC_SPECIES
Re 186.21 Re.upf
Os 190.23 Os.upf
Se 78.96 Se.upf
CELL_PARAMETERS angstrom
0.000 3.041 4.300
2.599 0.000 4.300
2.599 3.041 0.000
ATOMIC_POSITIONS angstrom
Re 0.000 0.000 0.000
Os 2.599 3.041 4.300
Se 2.599 1.521 2.150
Se 0.000 1.521 2.150


[12]
! ReOsSe2 | Alexandria via LeMat-Bulk | GGA-PBE | relaxed; values from VASP
! Formation energy from raw total energies = 282 kJ/mol of formula units
! E above lowest polymorph = 558 meV per atom
! Spin magnetization = 0.00 μB/f.u.
&SYSTEM
  ibrav = 0, nat = 4, ntyp = 3
/
ATOMIC_SPECIES
Re 186.21 Re.upf
Os 190.23 Os.upf
Se 78.96 Se.upf
CELL_PARAMETERS angstrom
3.135 0.000 0.000
0.000 3.135 0.000
0.000 0.000 6.262
ATOMIC_POSITIONS angstrom
Re 0.000 0.000 0.000
Os 0.000 0.000 3.131
Se 1.568 1.568 1.543
Se 1.568 1.568 4.718


[13]
! ReOs2Se4 | Alexandria via LeMat-Bulk | GGA-PBE | relaxed; values from VASP
! Formation energy from raw total energies = 665 kJ/mol of formula units
! Spin magnetization = 1.44 μB/f.u.
&SYSTEM
  ibrav = 0, nat = 7, ntyp = 3
/
ATOMIC_SPECIES
Re 186.21 Re.upf
Os 190.23 Os.upf
Se 78.96 Se.upf
CELL_PARAMETERS angstrom
-2.528 2.528 5.959
2.528 -2.528 5.959
2.528 2.528 -5.959
ATOMIC_POSITIONS angstrom
Re 0.000 0.000 0.000
Os 0.000 0.000 4.771
Os 0.000 0.000 7.147
Se 2.528 0.000 0.000
Se 0.000 0.000 2.458
Se 0.000 2.528 0.000
Se 0.000 0.000 9.460


[14]
! ReOsSe2 | Alexandria via LeMat-Bulk | GGA-PBE | relaxed; values from VASP
! Formation energy from raw total energies = 141 kJ/mol of formula units
! E above lowest polymorph = 193 meV per atom
! Spin magnetization = 0.00 μB/f.u.
&SYSTEM
  ibrav = 0, nat = 4, ntyp = 3
/
ATOMIC_SPECIES
Re 186.21 Re.upf
Os 190.23 Os.upf
Se 78.96 Se.upf
CELL_PARAMETERS angstrom
4.784 -1.557 0.000
4.784 1.557 0.000
-0.656 0.000 6.277
ATOMIC_POSITIONS angstrom
Re 0.000 0.000 0.000
Os 2.064 0.000 6.237
Se 3.750 0.000 4.421
Se 6.295 0.000 1.521